Density functional theory data (PBE with a Hubbard U) for a relaxed structure of Sr3CaMn2O8.

Calculated values
The total magnetization comes out at 0.436 μB/atom. The value obtained for the total energy is -6.6974 eV per atom.

Cell: 3.8383 3.8383 12.4072 Å, 90.00 90.00 90.00°
Closest atoms and distances in Å follow each position.
Element x y z (fractional)
Sr 0.0000 0.0000 0.6430  9 O 2.51-2.72
Sr 0.0000 0.0000 0.3517  5 O 2.39-2.64
Sr 0.5000 0.5000 0.8578  9 O 2.51-2.72
Ca 0.5000 0.5000 0.1426  5 O 2.40-2.55
Mn 0.0000 0.0000 0.0043  6 O 1.92-1.97
Mn 0.5000 0.5000 0.4961  6 O 1.92-1.99
O 0.5000 0.5000 0.3357  1 Mn 1.99
O 0.0000 0.0000 0.8454  1 Mn 1.97
O 0.0000 0.0000 0.1587  1 Mn 1.92
O 0.5000 0.5000 0.6554  1 Mn 1.98
O 0.5000 0.0000 0.0074  2 Mn 1.92
O 0.0000 0.5000 0.0074  2 Mn 1.92
O 0.0000 0.5000 0.4972  2 Mn 1.92
O 0.5000 0.0000 0.4972  2 Mn 1.92


Density functional theory data (PBE with a Hubbard U) for a relaxed structure of Sr2CaMnO4.

Calculated values
The total magnetization comes out at 0.625 μB/atom. The value obtained for the total energy is -6.5271 eV per atom.

Cell: 3.5009 6.0468 6.0448 Å, 109.62 90.00 90.00°
Closest atoms and distances in Å follow each position.
Element x y z (fractional)
Sr 0.5000 0.0000 0.5000  6 O 2.52
Sr 0.0000 0.5000 0.5000  6 O 2.54-2.55
Ca 0.5000 0.5000 0.0000  6 O 2.42
Mn 0.0000 0.0000 0.0000  6 O 2.39-2.40
O 0.5000 0.2385 0.2283  2 Mn 2.39, 1 Ca 2.42, 3 Sr 2.52-2.55
O 0.5000 0.7615 0.7717  2 Mn 2.39, 1 Ca 2.42, 3 Sr 2.52-2.55
O 0.0000 0.2529 0.7676  1 Mn 2.40, 2 Ca 2.42, 3 Sr 2.52-2.54
O 0.0000 0.7471 0.2324  1 Mn 2.40, 2 Ca 2.42, 3 Sr 2.52-2.54


Density functional theory data (PBE with a Hubbard U) for a relaxed structure of Sr2Ca6TiMn7O24.

Calculated values
The total magnetization comes out at 0.549 μB/atom. The value obtained for the total energy is -7.0065 eV per atom.

Cell: 7.6773 7.6773 7.6585 Å, 90.00 90.00 90.27°
Closest atoms and distances in Å follow each position.
Element x y z (fractional)
Sr 0.7491 0.2509 0.7492  12 O 2.72-2.79
Sr 0.7491 0.2509 0.2508  12 O 2.72-2.79
Ca 0.2406 0.2607 0.7461  10 O 2.53-2.81
Ca 0.2386 0.7614 0.7500  12 O 2.54-2.83
Ca 0.7393 0.7594 0.7461  10 O 2.53-2.81
Ca 0.2406 0.2607 0.2539  10 O 2.53-2.81
Ca 0.2386 0.7614 0.2500  12 O 2.54-2.83
Ca 0.7393 0.7594 0.2539  10 O 2.53-2.81
Ti 0.4936 0.5064 0.0000  6 O 1.89-2.00
Mn 0.9985 0.0015 0.0000  6 O 1.90-1.94
Mn 0.4954 0.0021 0.0000  6 O 1.87-1.97
Mn 0.9979 0.5046 0.0000  6 O 1.87-1.97
Mn 0.9984 0.0016 0.5000  6 O 1.89-1.94
Mn 0.4946 0.0014 0.5000  6 O 1.87-1.98
Mn 0.9986 0.5054 0.5000  6 O 1.87-1.98
Mn 0.4965 0.5035 0.5000  6 O 1.88-1.97
O 0.0052 0.9948 0.7498  2 Mn 1.91-1.92
O 0.5032 0.9891 0.7499  2 Mn 1.92
O 0.0109 0.4968 0.7499  2 Mn 1.92
O 0.4990 0.5010 0.7469  1 Mn 1.89, 1 Ti 1.94
O 0.0052 0.9948 0.2502  2 Mn 1.91-1.92
O 0.5032 0.9891 0.2501  2 Mn 1.92
O 0.0109 0.4968 0.2501  2 Mn 1.92
O 0.4990 0.5010 0.2531  1 Mn 1.89, 1 Ti 1.94
O 0.0092 0.2485 0.0000  2 Mn 1.90-1.97
O 0.4963 0.2456 0.0000  1 Mn 1.87, 1 Ti 2.00
O 0.0115 0.7489 0.0000  2 Mn 1.88-1.94
O 0.5015 0.7523 0.0000  1 Ti 1.89, 1 Mn 1.92
O 0.0090 0.2480 0.5000  2 Mn 1.89-1.98
O 0.4956 0.2476 0.5000  2 Mn 1.89-1.97
O 0.0111 0.7488 0.5000  2 Mn 1.87-1.94
O 0.5087 0.7483 0.5000  2 Mn 1.88-1.95
O 0.2511 0.9885 0.0000  2 Mn 1.88-1.94
O 0.7515 0.9908 0.0000  2 Mn 1.90-1.97
O 0.2477 0.4985 0.0000  1 Ti 1.89, 1 Mn 1.92
O 0.7544 0.5037 0.0000  1 Mn 1.87, 1 Ti 2.00
O 0.2512 0.9889 0.5000  2 Mn 1.87-1.94
O 0.7520 0.9910 0.5000  2 Mn 1.89-1.98
O 0.2517 0.4913 0.5000  2 Mn 1.88-1.95
O 0.7524 0.5044 0.5000  2 Mn 1.89-1.97


Density functional theory data (PBE with a Hubbard U) for a relaxed structure of Sr7CaTi5Mn3O24.

Calculated values
The total magnetization comes out at 0.229 μB/atom. The value obtained for the total energy is -7.5912 eV per atom.

Cell: 7.7823 7.8370 7.8362 Å, 89.80 90.03 90.03°
Closest atoms and distances in Å follow each position.
Element x y z (fractional)
Sr 0.7534 0.2482 0.7508  11 O 2.57-2.86
Sr 0.7550 0.7489 0.7490  7 O 2.57-2.75
Sr 0.7534 0.7507 0.2483  11 O 2.57-2.87
Sr 0.2474 0.2480 0.7486  9 O 2.59-2.88
Sr 0.2475 0.7493 0.7493  11 O 2.62-2.84
Sr 0.2473 0.2496 0.2495  7 O 2.54-2.73
Sr 0.2474 0.7486 0.2480  9 O 2.59-2.88
Ca 0.7572 0.2441 0.2442  5 O 2.47-2.64
Ti 0.0003 0.4970 0.4970  6 O 1.94-2.01
Ti 0.5010 0.9972 0.9973  6 O 1.92-2.00
Ti 0.5029 0.4959 0.9983  6 O 1.92-2.02
Ti 0.5029 0.9983 0.4960  6 O 1.92-2.02
Ti 0.5015 0.4958 0.4958  6 O 1.92-2.01
Mn 0.9998 0.0003 0.0003  6 O 1.93-1.98
Mn 0.9997 0.4990 0.9998  6 O 1.93-1.98
Mn 0.9997 0.9998 0.4990  6 O 1.93-1.98
O 0.7535 0.9801 0.9800  1 Mn 1.93, 1 Ti 1.97
O 0.7526 0.5205 0.0161  1 Mn 1.93, 1 Ti 1.96
O 0.7527 0.0159 0.5206  1 Mn 1.93, 1 Ti 1.96
O 0.7502 0.4822 0.4820  2 Ti 1.94-1.95
O 0.2463 0.0212 0.0213  1 Mn 1.93, 1 Ti 2.00
O 0.2461 0.4783 0.9861  1 Mn 1.93, 1 Ti 2.01
O 0.2461 0.9863 0.4781  1 Mn 1.93, 1 Ti 2.01
O 0.2484 0.5134 0.5136  2 Ti 1.94-1.98
O 0.0255 0.0022 0.7502  2 Mn 1.97-1.98
O 0.9842 0.4990 0.7531  1 Mn 1.94, 1 Ti 2.01
O 0.9666 0.0070 0.2510  2 Mn 1.96-1.98
O 0.0136 0.4994 0.2476  1 Mn 1.94, 1 Ti 1.96
O 0.4820 0.0037 0.7525  2 Ti 1.92-2.02
O 0.5146 0.5019 0.7521  2 Ti 1.93-2.01
O 0.5231 0.0065 0.2517  2 Ti 1.92-2.00
O 0.4844 0.5025 0.2511  2 Ti 1.92-1.99
O 0.9667 0.2510 0.0073  2 Mn 1.96-1.98
O 0.0253 0.7502 0.0019  2 Mn 1.97-1.98
O 0.0134 0.2476 0.4991  1 Mn 1.95, 1 Ti 1.96
O 0.9844 0.7531 0.4993  1 Mn 1.94, 1 Ti 2.01
O 0.5230 0.2517 0.0063  2 Ti 1.92-2.00
O 0.4821 0.7525 0.0038  2 Ti 1.92-2.02
O 0.4846 0.2512 0.5026  2 Ti 1.92-1.99
O 0.5144 0.7521 0.5017  2 Ti 1.93-2.01


Density functional theory data (PBE with a Hubbard U) for a relaxed structure of SrCaTiMnO6.

Calculated values
The total magnetization comes out at 0.316 μB/atom. The value obtained for the total energy is -7.4467 eV per atom.

Cell: 3.8861 3.8861 7.7689 Å, 90.00 90.00 90.00°
Closest atoms and distances in Å follow each position.
Element x y z (fractional)
Sr 0.0000 0.0000 0.7512  12 O 2.74-2.84
Ca 0.0000 0.0000 0.2718  8 O 2.55-2.75
Ti 0.5000 0.5000 0.0110  5 O 1.87-1.95
Mn 0.5000 0.5000 0.5016  6 O 1.87-1.95
O 0.5000 0.5000 0.7417  1 Mn 1.87
O 0.5000 0.5000 0.2513  1 Ti 1.87, 1 Mn 1.94
O 0.5000 0.0000 0.9992  2 Ti 1.95
O 0.0000 0.5000 0.9992  2 Ti 1.95
O 0.5000 0.0000 0.4847  2 Mn 1.95
O 0.0000 0.5000 0.4847  2 Mn 1.95


Density functional theory data (PBE with a Hubbard U) for a relaxed structure of SrCa7Ti3Mn5O22.

Calculated values
The total magnetization comes out at 0.500 μB/atom. The value obtained for the total energy is -7.3931 eV per atom.

Cell: 7.9088 7.6559 7.7833 Å, 90.20 91.34 89.41°
Closest atoms and distances in Å follow each position.
Element x y z (fractional)
Sr 0.2354 0.2574 0.2835  7 O 2.47-2.71
Ca 0.2680 0.2880 0.7485  5 O 2.33-2.55
Ca 0.2538 0.7335 0.2545  6 O 2.35-2.62
Ca 0.2942 0.7634 0.7356  5 O 2.38-2.54
Ca 0.7359 0.2462 0.2234  3 O 2.26-2.42
Ca 0.7289 0.2682 0.7214  6 O 2.37-2.59
Ca 0.7812 0.7349 0.2692  6 O 2.33-2.55
Ca 0.7651 0.7419 0.7893  7 O 2.39-2.64
Ti 0.0155 0.0082 0.9695  4 O 1.83-1.86
Ti 0.9879 0.9991 0.5270  5 O 1.82-1.98
Ti 0.5109 0.9951 0.9957  3 O 1.81-1.96
Mn 0.0016 0.4952 0.0260  4 O 1.94-2.11
Mn 0.9958 0.4995 0.5248  5 O 1.92-2.14
Mn 0.5073 0.9915 0.4763  4 O 1.93-2.01
Mn 0.5019 0.5038 0.9894  5 O 1.93-1.96
Mn 0.5087 0.5054 0.5056  5 O 1.89-2.00
O 0.9114 0.0232 0.7543  2 Ti 1.85-1.89
O 0.0281 0.5285 0.2721  2 Mn 1.94-2.00
O 0.9618 0.4728 0.7802  2 Mn 1.94-2.02
O 0.4675 0.0445 0.2286  1 Ti 1.89, 1 Mn 1.99
O 0.5337 0.9479 0.7199  1 Mn 1.93
O 0.5367 0.5426 0.7445  2 Mn 1.89-1.96
O 0.2386 0.0312 0.9054  1 Ti 1.86
O 0.2106 0.9541 0.4591  1 Ti 1.88
O 0.2635 0.4598 0.0117  2 Mn 1.93-2.09
O 0.2669 0.5325 0.5271  2 Mn 1.93-2.16
O 0.7347 0.9552 0.0276  1 Ti 1.81
O 0.7914 0.0176 0.4010  1 Ti 1.82
O 0.7377 0.5282 0.0523  2 Mn 1.93-2.11
O 0.7366 0.4555 0.4563  1 Mn 1.89
O 0.9860 0.2109 0.0919  1 Ti 1.83
O 0.0375 0.2495 0.5263  1 Mn 1.94, 1 Ti 1.96
O 0.0300 0.7808 0.0411  1 Ti 1.83
O 0.9522 0.7449 0.5505  1 Mn 1.92, 1 Ti 1.98
O 0.5392 0.2544 0.9553  1 Mn 1.95, 1 Ti 2.03
O 0.4760 0.2480 0.5252  2 Mn 2.00-2.01
O 0.4470 0.7495 0.0145  1 Mn 1.94, 1 Ti 1.96
O 0.5207 0.7374 0.4152  2 Mn 1.92-2.00


Density functional theory data (PBE with a Hubbard U) for a relaxed structure of Sr3Ca5Ti3Mn5O24.

Calculated values
The total magnetization comes out at 0.375 μB/atom. The value obtained for the total energy is -7.3344 eV per atom.

Cell: 7.6799 7.7161 7.7047 Å, 90.22 89.77 90.25°
Closest atoms and distances in Å follow each position.
Element x y z (fractional)
Sr 0.2473 0.7385 0.2577  8 O 2.45-2.71
Sr 0.7508 0.7620 0.2375  8 O 2.47-2.75
Sr 0.7521 0.7645 0.7427  8 O 2.47-2.74
Ca 0.2478 0.2292 0.2648  6 O 2.38-2.59
Ca 0.7517 0.2673 0.2374  6 O 2.36-2.64
Ca 0.2471 0.7287 0.7639  7 O 2.38-2.66
Ca 0.2488 0.2357 0.7740  8 O 2.40-2.65
Ca 0.7530 0.2626 0.7269  6 O 2.36-2.61
Ti 0.4984 0.4947 0.9996  6 O 1.94-2.01
Ti 0.4985 0.0022 0.5028  6 O 1.96-1.98
Ti 0.4982 0.4953 0.4998  6 O 1.92-2.01
Mn 0.0008 0.0037 0.0003  6 O 1.94-1.98
Mn 0.4983 0.0027 0.0001  6 O 1.92-1.98
Mn 0.0005 0.4951 0.9980  6 O 1.91-1.99
Mn 0.0011 0.0039 0.5029  6 O 1.92-1.99
Mn 0.0008 0.4964 0.4989  6 O 1.92-2.01
O 0.0366 0.9766 0.2511  2 Mn 1.96-1.97
O 0.4693 0.9772 0.2485  1 Mn 1.94, 1 Ti 1.98
O 0.9669 0.5258 0.2481  2 Mn 1.96-1.97
O 0.5254 0.5233 0.2476  2 Ti 1.94-1.97
O 0.9666 0.0447 0.7528  2 Mn 1.95-1.97
O 0.5304 0.0402 0.7545  1 Mn 1.93, 1 Ti 1.98
O 0.0351 0.4603 0.7476  2 Mn 1.96
O 0.4731 0.4660 0.7482  2 Ti 1.94-1.96
O 0.9771 0.7496 0.9694  2 Mn 1.98-1.99
O 0.5206 0.7529 0.9732  1 Mn 1.95, 1 Ti 2.01
O 0.0407 0.2497 0.0374  2 Mn 1.94
O 0.4640 0.2466 0.0343  1 Mn 1.92, 1 Ti 1.95
O 0.0394 0.7519 0.5364  2 Mn 1.99-2.01
O 0.4673 0.7518 0.5310  2 Ti 1.96-2.01
O 0.9565 0.2505 0.4645  2 Mn 1.94-1.96
O 0.5345 0.2507 0.4677  2 Ti 1.92-1.96
O 0.2496 0.9730 0.9535  2 Mn 1.96
O 0.7510 0.0321 0.0397  2 Mn 1.95-1.98
O 0.2468 0.5260 0.0135  1 Mn 1.91, 1 Ti 1.95
O 0.7533 0.4616 0.9718  1 Mn 1.93, 1 Ti 1.99
O 0.2469 0.0461 0.5270  1 Mn 1.92, 1 Ti 1.97
O 0.7536 0.9711 0.4815  1 Mn 1.92, 1 Ti 1.98
O 0.2464 0.4661 0.4651  1 Mn 1.92, 1 Ti 1.97
O 0.7537 0.5235 0.5285  1 Mn 1.92, 1 Ti 1.99


Density functional theory data (PBE with a Hubbard U) for a relaxed structure of Sr7CaTi3Mn5O24.

Calculated values
The total magnetization comes out at 0.383 μB/atom. The value obtained for the total energy is -7.2953 eV per atom.

Cell: 7.7505 7.8062 7.8061 Å, 89.70 89.99 90.00°
Closest atoms and distances in Å follow each position.
Element x y z (fractional)
Sr 0.7532 0.2482 0.7514  11 O 2.56-2.87
Sr 0.2481 0.2469 0.7518  9 O 2.56-2.87
Sr 0.2470 0.7515 0.7516  7 O 2.56-2.76
Sr 0.7533 0.2498 0.2498  7 O 2.56-2.77
Sr 0.2473 0.2503 0.2503  7 O 2.53-2.77
Sr 0.7532 0.7514 0.2482  11 O 2.56-2.86
Sr 0.2481 0.7518 0.2470  9 O 2.56-2.87
Ca 0.7553 0.7470 0.7470  5 O 2.44-2.63
Ti 0.5017 0.5018 0.9986  6 O 1.94-2.00
Ti 0.5017 0.9986 0.5018  6 O 1.94-2.00
Ti 0.5015 0.5001 0.5001  6 O 1.96-1.99
Mn 0.9989 0.9986 0.9986  6 O 1.95-1.97
Mn 0.5011 0.9991 0.9991  6 O 1.93-1.96
Mn 0.9995 0.5007 0.9992  6 O 1.92-1.97
Mn 0.9995 0.9992 0.5007  6 O 1.92-1.97
Mn 0.9997 0.5008 0.5008  6 O 1.92-1.97
O 0.0246 0.0003 0.7499  2 Mn 1.95-1.96
O 0.4809 0.0000 0.7523  1 Mn 1.93, 1 Ti 1.96
O 0.9677 0.5073 0.7508  2 Mn 1.95-1.97
O 0.5207 0.5037 0.7506  2 Ti 1.94-1.96
O 0.9749 0.9995 0.2496  2 Mn 1.97
O 0.5205 0.9993 0.2467  1 Mn 1.94, 1 Ti 2.00
O 0.0239 0.5020 0.2508  2 Mn 1.96-1.97
O 0.4833 0.5012 0.2502  2 Ti 1.96-1.97
O 0.9750 0.2496 0.9993  2 Mn 1.97
O 0.5204 0.2467 0.9993  1 Mn 1.94, 1 Ti 2.00
O 0.0246 0.7499 0.0004  2 Mn 1.95-1.96
O 0.4809 0.7523 0.0001  1 Mn 1.93, 1 Ti 1.96
O 0.0238 0.2508 0.5021  2 Mn 1.96-1.97
O 0.4833 0.2502 0.5012  2 Ti 1.96-1.97
O 0.9677 0.7508 0.5072  2 Mn 1.95-1.97
O 0.5207 0.7506 0.5037  2 Ti 1.94-1.96
O 0.7503 0.9679 0.9679  2 Mn 1.96
O 0.2501 0.0217 0.0217  2 Mn 1.96
O 0.7527 0.5195 0.0176  1 Mn 1.92, 1 Ti 1.96
O 0.2466 0.4817 0.9804  1 Mn 1.93, 1 Ti 1.99
O 0.7527 0.0176 0.5196  1 Mn 1.92, 1 Ti 1.96
O 0.2466 0.9804 0.4817  1 Mn 1.93, 1 Ti 1.99
O 0.7530 0.4811 0.4811  1 Mn 1.92, 1 Ti 1.96
O 0.2461 0.5200 0.5200  1 Mn 1.92, 1 Ti 1.99